Entry from Alexandria via LeMat-Bulk: crystalline Si2HgPt at its relaxed geometry (PBE).

Results
ρ in g cm⁻³: 10.35
Magnetic moment in μB per atom: 0.000
E_tot in eV per formula unit: -17.01

```
Si2HgPt
1.0
-0.236 3.583 0.233
-0.862 -0.323 4.087
4.297 0.095 2.892
Hg Si Pt
1 2 1
Direct
0.000 0.462 0.533
0.500 0.273 0.150
0.000 0.932 0.046
0.500 0.833 0.772
```